Record 1
Computed, not measured: a relaxed NaSr2BiP crystal at the PBE-GGA level of DFT.

Lattice parameters (Å, degrees): 5.837 5.837 5.254 90.00 90.00 90.00
Space group P4/mmm (No. 123)
Symmetry-distinct sites (fractional):
Na 0.000 0.000 0.000 x1
Sr 0.000 0.500 0.500 x2
Bi 0.500 0.500 0.000 x1
P 0.000 0.000 0.500 x1

Energy of formation in eV per atom: -0.6386
Final energy in eV/atom: -3.43
Magnetization in μB/atom: 0.000

---

Record 2
Computed, not measured: a relaxed Na2PaBi5 crystal at the PBE-GGA level of DFT.

Lattice parameters (Å, degrees): 8.510 8.510 13.087 90.00 90.00 90.00
Space group I4/mcm (No. 140)
Symmetry-distinct sites (fractional):
Na 0.144 0.356 0.000 x8
Pa 0.000 0.000 0.250 x4
Bi 0.000 0.000 0.000 x4
Bi 0.150 0.350 0.334 x16

Energy of formation in eV per atom: -0.1432
Final energy in eV/atom: -4.09
Magnetization in μB/atom: 0.039

---

Record 3
Computed, not measured: a relaxed NaPaBi4 crystal at the PBE-GGA level of DFT.

Lattice parameters (Å, degrees): 4.349 25.478 6.810 90.00 90.00 90.00
Space group Cmcm (No. 63)
Symmetry-distinct sites (fractional):
Na 0.000 0.227 0.250 x4
Pa 0.000 0.076 0.750 x4
Bi 0.000 0.078 0.250 x4
Bi 0.000 0.345 0.022 x8
Bi 0.000 0.500 0.000 x4

Energy of formation in eV per atom: -0.1555
Final energy in eV/atom: -4.55
Magnetization in μB/atom: 0.000

---

Record 4
Computed, not measured: a relaxed NaPaBi2 crystal at the PBE-GGA level of DFT.

Lattice parameters (Å, degrees): 5.850 5.850 3.343 90.00 90.00 90.00
Space group P4/mmm (No. 123)
Symmetry-distinct sites (fractional):
Na 0.000 0.000 0.000 x1
Pa 0.500 0.500 0.000 x1
Bi 0.000 0.500 0.500 x2

Energy of formation in eV per atom: -0.1833
Final energy in eV/atom: -4.83
Magnetization in μB/atom: 0.270

---

Record 5
Computed, not measured: a relaxed NaPaBi2 crystal at the PBE-GGA level of DFT.

Lattice parameters (Å, degrees): 4.6242 4.6242 22.0495 90.00 90.00 120.00
Space group R-3m (No. 166, hexagonal axes)
Symmetry-distinct sites (fractional):
Na 0.0000 0.0000 0.0000 x3
Pa 0.0000 0.0000 0.5000 x3
Bi 0.0000 0.0000 0.2415 x6

Energy of formation in eV per atom: -0.1804
Final energy in eV/atom: -4.82
Magnetization in μB/atom: 0.000

---

Record 6
Computed, not measured: a relaxed NaPaBi2 crystal at the PBE-GGA level of DFT.

Lattice parameters (Å, degrees): 4.010 4.010 7.459 90.00 90.00 90.00
Space group P4/mmm (No. 123)
Symmetry-distinct sites (fractional):
Na 0.000 0.000 0.000 x1
Pa 0.000 0.000 0.500 x1
Bi 0.500 0.500 0.273 x2

Energy of formation in eV per atom: -0.1571
Final energy in eV/atom: -4.80
Magnetization in μB/atom: 0.162

---

Record 7
Computed, not measured: a relaxed NaPaBi2 crystal at the PBE-GGA level of DFT.

Lattice parameters (Å, degrees): 5.803 4.732 8.805 90.00 93.32 90.00
Space group C2/m (No. 12)
Symmetry-distinct sites (fractional):
Na 0.000 0.000 0.000 x2
Pa 0.000 0.000 0.500 x2
Bi 0.020 0.500 0.737 x4

Energy of formation in eV per atom: -0.2179
Final energy in eV/atom: -4.86
Magnetization in μB/atom: 0.077

---

Record 8
Computed, not measured: a relaxed NaPaBi2 crystal at the PBE-GGA level of DFT.

Lattice parameters (Å, degrees): 4.5665 4.5665 22.8671 90.00 90.00 120.00
Space group R3m (No. 160, hexagonal axes)
Symmetry-distinct sites (fractional):
Na 0.0000 0.0000 0.0000 x3
Pa 0.0000 0.0000 0.1714 x3
Bi 0.0000 0.0000 0.5790 x3
Bi 0.0000 0.0000 0.7626 x3

Energy of formation in eV per atom: -0.1709
Final energy in eV/atom: -4.82
Magnetization in μB/atom: 0.040

---

Record 9
Computed, not measured: a relaxed NaPaBi4 crystal at the PBE-GGA level of DFT.

Lattice parameters (Å, degrees): 8.760 9.532 5.733 90.00 90.00 90.00
Space group Cmmm (No. 65)
Symmetry-distinct sites (fractional):
Na 0.000 0.000 0.000 x2
Pa 0.000 0.500 0.500 x2
Bi 0.000 0.347 0.000 x4
Bi 0.165 0.000 0.500 x4

Energy of formation in eV per atom: 0.3478
Final energy in eV/atom: -4.04
Magnetization in μB/atom: 0.000

---

Record 10
Computed, not measured: a relaxed Na5PaBi6 crystal at the PBE-GGA level of DFT.

Lattice parameters (Å, degrees): 5.845 7.257 9.261 113.02 95.47 90.07
Space group P-1 (No. 2)
Symmetry-distinct sites (fractional):
Na 0.000 0.000 0.000 x1
Na 0.319 0.833 0.666 x2
Na 0.322 0.317 0.635 x2
Pa 0.000 0.500 0.000 x1
Bi 0.172 0.896 0.313 x2
Bi 0.173 0.417 0.313 x2
Bi 0.500 0.272 0.000 x2

Energy of formation in eV per atom: -0.2565
Final energy in eV/atom: -3.54
Magnetization in μB/atom: 0.062

---

Record 11
Computed, not measured: a relaxed NaPaBi3 crystal at the PBE-GGA level of DFT.

Lattice parameters (Å, degrees): 8.616 4.438 9.083 90.00 103.42 90.00
Space group P2_1/m (No. 11)
Symmetry-distinct sites (fractional):
Na 0.160 0.250 0.155 x2
Pa 0.306 0.750 0.574 x2
Bi 0.053 0.250 0.654 x2
Bi 0.239 0.750 0.899 x2
Bi 0.450 0.750 0.282 x2

Energy of formation in eV per atom: -0.0452
Final energy in eV/atom: -4.54
Magnetization in μB/atom: 0.068

---

Record 12
Computed, not measured: a relaxed NaPa2Bi8 crystal at the PBE-GGA level of DFT.

Lattice parameters (Å, degrees): 4.708 4.708 15.583 90.00 90.00 90.00
Space group P4/mmm (No. 123)
Symmetry-distinct sites (fractional):
Na 0.000 0.000 0.000 x1
Pa 0.000 0.000 0.328 x2
Bi 0.000 0.500 0.164 x4
Bi 0.000 0.500 0.500 x2
Bi 0.500 0.500 0.333 x2

Energy of formation in eV per atom: -0.1358
Final energy in eV/atom: -4.80
Magnetization in μB/atom: 0.000